i) Density functional theory data (PBEsol) for a relaxed LiH2N crystal.

Values from the calculation:
DOS at the Fermi energy = 0.00 states/eV/f.u.

abc: 3.3171 3.7708 9.3509
angles: 90.00 90.00 90.00
Closest atoms and distances in Å follow each position.
Space group Pccn (No. 56)
Asymmetric unit:
Li1 0.2500 0.2500 0.0220 x4  4 N 2.08-2.09, 4 H 2.20-2.28
H1 0.0369 0.6553 0.1861 x8  1 N 1.04
N1 0.2500 0.7500 0.1149 x4  2 H 1.04

ii) Density functional theory data (PBEsol) for a relaxed LiH2N crystal.

Values from the calculation:
DOS at the Fermi energy = 0.00 states/eV/f.u.

abc: 4.8779 4.8779 10.2447
angles: 90.00 90.00 90.00
Closest atoms and distances in Å follow each position.
Space group I-4 (No. 82)
Asymmetric unit:
Li1 0.0000 0.0000 0.0000 x2  4 N 2.17, 4 H 2.32
Li2 0.0000 0.0000 0.2417 x4  4 N 2.03-2.18, 2 H 2.14
Li3 0.0000 0.5000 0.2500 x2  4 N 2.04
H1 0.0722 0.3293 0.6239 x8  1 N 1.03
H2 0.1032 0.7307 0.4420 x8  1 N 1.03
N1 0.2352 0.2556 0.1331 x8  2 H 1.03

In terms of stability, ii) leads; the second structure lies 1.7 kJ/mol of atoms higher.

i) Density functional theory data (PBEsol) for a relaxed LiVP2H2O8 crystal.

Values from the calculation:
DOS at the Fermi energy = 6.05 states/eV/f.u.

abc: 9.9408 15.8626 8.5378
angles: 90.00 121.58 90.00
Closest atoms and distances in Å follow each position.
Space group Cc (No. 9)
Asymmetric unit:
Li1 0.0000 0.1842 0.0000 x4  4 O 2.01-2.14
Li2 0.0206 0.3052 0.5173 x4  4 O 2.03-2.18
V1 0.4062 0.1082 0.2926 x4  6 O 1.90-2.09
V2 0.4283 0.3549 0.8188 x4  6 O 1.95-2.07
P1 0.0803 0.0005 0.1693 x4  4 O 1.53-1.56
P2 0.1088 0.4681 0.6223 x4  4 O 1.51-1.58
P3 0.2478 0.2795 0.0430 x4  4 O 1.53-1.59
P4 0.3089 0.1837 0.5837 x4  4 O 1.52-1.59
H1 0.1785 0.0366 0.9610 x4  1 O 1.02
H2 0.2616 0.3881 0.2253 x4  1 O 1.02
H3 0.3141 0.4984 0.3892 x4  1 O 1.05
H4 0.3403 0.0752 0.7547 x4  1 O 1.01
O1 0.0132 0.0859 0.1782 x4  1 P 1.53
O2 0.0501 0.4788 0.9523 x4  1 P 1.51
O3 0.0731 0.3018 0.9112 x4  1 P 1.54
O4 0.1147 0.0594 0.8301 x4  1 H 1.02
O5 0.1317 0.1998 0.5009 x4  1 P 1.54
O6 0.2096 0.4691 0.2875 x4  1 H 1.05
O7 0.2159 0.3943 0.6376 x4  1 P 1.54
O8 0.2356 0.0137 0.1680 x4  1 P 1.56, 2 H 1.59-1.68
O9 0.2496 0.1890 0.1107 x4  1 P 1.54
O10 0.3227 0.3371 0.2221 x4  1 H 1.02
O11 0.3356 0.1277 0.4580 x4  1 P 1.52
O12 0.3484 0.2847 0.9552 x4  1 P 1.53
O13 0.3798 0.1354 0.7735 x4  1 H 1.01
O14 0.4015 0.2663 0.6332 x4  1 P 1.53
O15 0.4597 0.4543 0.9910 x4  1 H 1.45, 1 P 1.54
O16 0.4713 0.0745 0.1252 x4  1 P 1.54

ii) Density functional theory data (PBEsol) for a relaxed LiVP2H2O8 crystal.

Values from the calculation:
DOS at the Fermi energy = 6.13 states/eV/f.u.

abc: 6.7566 7.7245 5.3259
angles: 90.00 90.00 90.00
Closest atoms and distances in Å follow each position.
Space group P2_12_12 (No. 18)
Asymmetric unit:
Li1 0.0000 0.0000 0.0856 x2  4 O 1.94-2.09
V1 0.0000 0.5000 0.7559 x2  6 O 1.96-2.06
P1 0.2193 0.6512 0.2621 x4  4 O 1.53-1.58
H1 0.0101 0.2096 0.4507 x4  1 O 1.03
O1 0.0447 0.7874 0.2699 x4  1 H 1.03
O2 0.0766 0.2427 0.7293 x4  1 P 1.55, 1 H 1.57
O3 0.2010 0.5387 0.4968 x4  1 P 1.53
O4 0.2070 0.5472 0.0171 x4  1 P 1.53

In terms of stability, ii) leads; the second structure lies 0.8 kJ/mol of atoms higher.

i) Density functional theory data (PBEsol) for a relaxed LuH3O3 crystal.

Values from the calculation:
DOS at the Fermi energy = 0.00 states/eV/f.u.

abc: 6.1221 6.1221 3.3697
angles: 90.00 90.00 120.00
Closest atoms and distances in Å follow each position.
Space group P6_3/m (No. 176)
Asymmetric unit:
Lu1 0.3333 0.6667 0.2500 x2  9 O 2.32-2.40
H1 0.1283 0.8488 0.7500 x6  1 O 0.98
O1 0.0857 0.3963 0.7500 x6  1 H 0.98

ii) Density functional theory data (PBEsol) for a relaxed LuH3O3 crystal.

Values from the calculation:
DOS at the Fermi energy = 0.00 states/eV/f.u.

abc: 11.3715 11.3715 6.8937
angles: 90.00 90.00 120.00
Closest atoms and distances in Å follow each position.
Space group R-3 (No. 148, hexagonal axes)
Asymmetric unit:
Lu1 0.0000 0.0000 0.0000 x3  6 O 2.20
Lu2 0.0000 0.5000 0.0000 x9  6 O 2.19-2.23
H1 0.0283 0.4287 0.6400 x18  1 O 1.01
H2 0.0831 0.2006 0.7361 x18  1 O 1.02
O1 0.0015 0.8403 0.1790 x18  1 H 1.02
O2 0.0563 0.6107 0.2771 x18  1 H 1.01

In terms of stability, ii) leads; the second structure lies 3.4 kJ/mol of atoms higher.

i) Density functional theory data (PBEsol) for a relaxed MgNb2H crystal.

Values from the calculation:
DOS at the Fermi energy = 3.73 states/eV/f.u.

abc: 6.2191 6.2191 6.2191
angles: 90.00 90.00 90.00
Closest atoms and distances in Å follow each position.
Space group Fm-3m (No. 225)
Asymmetric unit:
Mg1 0.0000 0.0000 0.0000 x4  8 Nb 2.69
Nb1 0.2500 0.2500 0.2500 x8  4 H 2.69, 4 Mg 2.69
H1 0.0000 0.0000 0.5000 x4  8 Nb 2.69

ii) Density functional theory data (PBEsol) for a relaxed MgNb2H crystal.

Values from the calculation:
DOS at the Fermi energy = 2.53 states/eV/f.u.

abc: 8.1696 8.1696 8.1696
angles: 90.00 90.00 90.00
Closest atoms and distances in Å follow each position.
Space group Fd-3m (No. 227, origin choice 2)
Asymmetric unit:
Mg1 0.1250 0.1250 0.1250 x8  12 Nb 3.39, 4 H 3.54, 4 Mg 3.54
Nb1 0.0000 0.0000 0.5000 x16  2 H 1.77
H1 0.1250 0.1250 0.6250 x8  4 Nb 1.77

In terms of stability, ii) leads; the second structure lies 62.3 kJ/mol of atoms higher.

i) Density functional theory data (PBEsol) for a relaxed Mg3NiH crystal.

Values from the calculation:
DOS at the Fermi energy = 1.25 states/eV/f.u.

abc: 4.1077 4.1077 4.1077
angles: 90.00 90.00 90.00
Closest atoms and distances in Å follow each position.
Space group Pm-3m (No. 221)
Asymmetric unit:
Mg1 0.0000 0.0000 0.5000 x3  2 H 2.05
Ni1 0.5000 0.5000 0.5000 x1  12 Mg 2.90
H1 0.0000 0.0000 0.0000 x1  6 Mg 2.05

ii) Density functional theory data (PBEsol) for a relaxed Mg3NiH crystal.

Values from the calculation:
DOS at the Fermi energy = 2.49 states/eV/f.u.

abc: 4.7472 4.7472 4.7472
angles: 90.00 90.00 90.00
Closest atoms and distances in Å follow each position.
Space group Pm-3m (No. 221)
Asymmetric unit:
Mg1 0.0000 0.0000 0.5000 x3  2 Ni 2.37
Ni1 0.0000 0.0000 0.0000 x1  6 Mg 2.37
H1 0.5000 0.5000 0.5000 x1  12 Mg 3.36

In terms of stability, i) leads; the second structure lies 50.2 kJ/mol of atoms higher.

i) Density functional theory data (PBEsol) for a relaxed Mg3P2H16O16 crystal.

Values from the calculation:
DOS at the Fermi energy = 0.00 states/eV/f.u.

abc: 10.0448 12.9773 4.6338
angles: 90.00 105.55 90.00
Closest atoms and distances in Å follow each position.
Space group C2/m (No. 12)
Asymmetric unit:
Mg1 0.0000 0.0000 0.0000 x2  6 O 2.04-2.11
Mg2 0.0000 0.3857 0.0000 x4  6 O 2.05-2.14
P1 0.1864 0.5000 0.6160 x4  4 O 1.54-1.57
H1 0.0291 0.2136 0.2828 x8  1 O 1.00
H2 0.1250 0.3007 0.4951 x8  1 O 1.00
H3 0.1256 0.0809 0.6354 x8  1 O 1.01
H4 0.1910 0.1264 0.9648 x8  1 O 1.02
O1 0.0945 0.2718 0.2878 x8  2 H 1.00
O2 0.0994 0.1148 0.8095 x8  2 H 1.01-1.02
O3 0.0992 0.5000 0.2869 x4  1 P 1.54
O4 0.1574 0.0000 0.3854 x4  1 P 1.57, 2 H 1.66
O5 0.1602 0.4002 0.7776 x8  1 P 1.55, 1 H 1.68

ii) Density functional theory data (PBEsol) for a relaxed Mg3P2H16O16 crystal.

Values from the calculation:
DOS at the Fermi energy = 0.00 states/eV/f.u.

abc: 4.6409 27.0501 9.9219
angles: 90.00 101.73 90.00
Closest atoms and distances in Å follow each position.
Space group C2/c (No. 15)
Asymmetric unit:
Mg1 0.0000 0.0747 0.2500 x4  6 O 2.01-2.13
Mg2 0.0000 0.1858 0.2500 x4  6 O 2.05-2.15
Mg3 0.0000 0.3726 0.2500 x4  6 O 2.06-2.13
P1 0.0739 0.3685 0.9360 x8  4 O 1.54-1.57
H1 0.0085 0.0892 0.6202 x8  1 O 1.01
H2 0.0113 0.1679 0.6250 x8  1 O 1.01
H3 0.1246 0.4620 0.8760 x8  1 O 1.00
H4 0.1317 0.2732 0.8742 x8  1 O 1.00
H5 0.1978 0.0126 0.6488 x8  1 O 1.00
H6 0.2249 0.3094 0.4382 x8  1 O 1.01
H7 0.2313 0.4250 0.4571 x8  1 O 1.03
H8 0.2484 0.2313 0.7794 x8  1 O 1.00
O1 0.1133 0.3207 0.5898 x8  1 P 1.55, 1 H 1.71
O2 0.1181 0.4160 0.5924 x8  1 H 1.56, 1 P 1.56
O3 0.1849 0.1312 0.1500 x8  1 P 1.54
O4 0.1919 0.0244 0.1475 x8  2 H 1.00
O5 0.1919 0.2405 0.1562 x8  2 H 1.00
O6 0.2122 0.0744 0.6383 x8  2 H 1.01-1.03
O7 0.2126 0.1838 0.6521 x8  2 H 1.01
O8 0.2275 0.3700 0.0923 x8  1 P 1.57, 2 H 1.65-1.69

In terms of stability, ii) leads; the second structure lies 0.5 kJ/mol of atoms higher.